! FePdI2O GGA+U relaxed; values from VASP
! **E above lowest polymorph**: 0.000 eV/f.u.
! **ρ**: 6.1 g/cm³
! **Total energy**: -18.9 eV/cell
! **Space group**: P4/mmm (123)
&SYSTEM
  ibrav = 0, nat = 5, ntyp = 4
/
ATOMIC_SPECIES
Fe 55.84 Fe.upf
Pd 106.42 Pd.upf
I 126.90 I.upf
O 16.00 O.upf
CELL_PARAMETERS angstrom
5.710 0.000 0.000
0.000 5.710 0.000
0.000 0.000 3.630
ATOMIC_POSITIONS angstrom
Fe 0.000 0.000 0.000
Pd 2.855 2.855 1.815
I 0.000 2.855 0.000
I 2.855 0.000 0.000
O 0.000 0.000 1.815